# 1
Material: Sr4Rh
Method: DFT, PBEsol
State: relaxed

Calculated values
VASP energy = -3.15 eV per atom
energy relative to the elements = -23 kJ/mol of formula units
calculated density = 3.872 Mg/m³

Lattice parameters (Å, degrees): 10.1068 10.1068 3.8069 90.00 90.00 90.00
Space group I4/m (No. 87)
Asymmetric unit:
Sr 0.0582 0.7611 0.0000 x8
Rh 0.0000 0.0000 0.5000 x2

# 2
Material: Sr8Rh5
Method: DFT, PBEsol
State: relaxed

Calculated values
VASP energy = -4.30 eV per atom
energy relative to the elements = -41 kJ/mol of formula units
calculated density = 5.517 Mg/m³

Lattice parameters (Å, degrees): 7.1519 7.1519 7.1519 90.00 90.00 90.00
Space group Pm-3m (No. 221)
Asymmetric unit:
Sr 0.2488 0.2488 0.2488 x8
Rh 0.0000 0.0000 0.0000 x1
Rh 0.0000 0.0000 0.5000 x3
Rh 0.5000 0.5000 0.5000 x1